Record 1
Below is a relaxed TbDy3Ir8 crystal, with properties calculated at the PBE level.

ρ	16.8	Mg/m³
SG	R3m
DFT total energy	-8.2532	eV per atom
energy relative to the elements	-9.765	eV/f.u.

a = 9.2587 Å, b = 9.2587 Å, c = 9.2587 Å
α = 33.58°, β = 33.58°, γ = 33.58°
Positions (direct):
Tb (0.0000, 0.0000, 0.0000)
Dy (0.3751, 0.3751, 0.3751)
Dy (0.5000, 0.5000, 0.5000)
Dy (0.8750, 0.8750, 0.8750)
Ir (0.1875, 0.1875, 0.1875)
Ir (0.4375, 0.4375, 0.9374)
Ir (0.4375, 0.9374, 0.4375)
Ir (0.4377, 0.9376, 0.9376)
Ir (0.6875, 0.6875, 0.6875)
Ir (0.9374, 0.4375, 0.4375)
Ir (0.9376, 0.4377, 0.9376)
Ir (0.9376, 0.9376, 0.4377)

Record 2
Below is a relaxed Nd2Tc2O5 crystal, with properties calculated at the PBE level.

E above lowest polymorph	4.670	eV/f.u.
ρ	7.4	Mg/m³
SG	P4/mmm
DFT total energy	-7.5700	eV per atom

a = 3.6061 Å, b = 3.6061 Å, c = 9.8001 Å
α = 90.00°, β = 90.00°, γ = 90.00°
Positions (direct):
Nd (0.0000, 0.0000, 0.2403)
Nd (0.0000, 0.0000, 0.7597)
Tc (0.5000, 0.5000, 0.0000)
Tc (0.5000, 0.5000, 0.5000)
O (0.0000, 0.0000, 0.0000)
O (0.0000, 0.5000, 0.3820)
O (0.0000, 0.5000, 0.6180)
O (0.5000, 0.0000, 0.3820)
O (0.5000, 0.0000, 0.6180)

Record 3
Below is a relaxed LaNdI2O2 crystal, with properties calculated at the PBE level.

ρ	6.0	Mg/m³
SG	P4mm
DFT total energy	-6.5145	eV per atom

a = 4.1088 Å, b = 4.1088 Å, c = 9.2601 Å
α = 90.00°, β = 90.00°, γ = 90.00°
Positions (direct):
La (0.0000, 0.0000, 0.0000)
Nd (0.5000, 0.5000, 0.2545)
I (0.0000, 0.0000, 0.4585)
I (0.5000, 0.5000, 0.7967)
O (0.0000, 0.5000, 0.1299)
O (0.5000, 0.0000, 0.1299)

Number 1 is which compound? TbDy3Ir8

What is the DFT total energy in the first record? -8.2532 eV per atom